# 1
{"formula": "NdPuTlRh", "functional": "PBE", "state": "optimized geometry", "formation_energy_ev_per_atom": -0.191, "de_polymorph_ev_per_atom": 0.159, "lattice": [[-4.5372, 2.2260, -1.2839], [-4.4196, -2.7555, 0.2526], [-3.5236, 1.0567, 3.6956]], "species": ["Rh", "Nd", "Tl", "Pu"], "frac_coords": [[0.5000, 0.5000, 0.5000], [0.2500, 0.2500, 0.2500], [0.0000, 0.0000, 0.0000], [0.7500, 0.7500, 0.7500]]}



# 2
{"formula": "KTaN2", "functional": "PBE", "state": "optimized geometry", "raw_formation_energy_ev_per_atom": -0.829, "lattice": [[-3.2964, 0.0913, 1.2981], [0.4233, 0.3330, 5.8919], [0.4721, 6.3216, 0.7544]], "species": ["Ta", "Ta", "K", "K", "N", "N", "N", "N"], "frac_coords": [[0.9787, 0.2691, 0.2175], [0.7157, 0.7948, 0.1485], [0.4745, 0.2776, 0.7177], [0.2199, 0.7864, 0.6483], [0.8475, 0.5317, 0.9725], [0.8469, 0.5322, 0.3935], [0.5573, 0.1119, 0.3264], [0.1371, 0.9521, 0.0396]]}



# 3
{"formula": "LiV2Ag2", "functional": "PBE", "state": "optimized geometry", "formation_energy_ev_per_atom": 0.364, "de_polymorph_ev_per_atom": 0.000, "lattice": [[-2.4786, -0.0014, 2.1931], [2.1186, -0.8566, 2.3939], [1.1121, 6.8605, 3.7585]], "species": ["Ag", "Ag", "V", "V", "Li"], "frac_coords": [[0.5952, 0.5952, 0.8095], [0.4048, 0.4048, 0.1905], [0.7500, 0.2500, 0.5000], [0.2500, 0.7500, 0.5000], [0.0000, 0.0000, 0.0000]]}



# 4
{"formula": "Ac2LaNdY5", "functional": "PBE", "state": "optimized geometry", "formation_energy_ev_per_atom": 0.089, "lattice": [[-4.3365, -2.9927, 2.5865], [1.9554, -4.1590, -8.1935], [8.3396, -7.2039, 5.6469]], "species": ["Y", "Y", "Y", "Y", "Y", "Y", "Y", "Y", "Y", "Y", "Nd", "Nd", "La", "La", "Ac", "Ac", "Ac", "Ac"], "frac_coords": [[0.4353, 0.8706, 0.7681], [0.9104, 0.8208, 0.5999], [0.7328, 0.4656, 0.1203], [0.2717, 0.5435, 0.2309], [0.5622, 0.1245, 0.5650], [0.7283, 0.4565, 0.7309], [0.5647, 0.1294, 0.2681], [0.0896, 0.1792, 0.0999], [0.4378, 0.8755, 0.0650], [0.2672, 0.5344, 0.6203], [0.3941, 0.7881, 0.4386], [0.6059, 0.2119, 0.9386], [0.7469, 0.4938, 0.4253], [0.2531, 0.5062, 0.9253], [0.9179, 0.8357, 0.2556], [0.1091, 0.2182, 0.4204], [0.8909, 0.7818, 0.9204], [0.0821, 0.1643, 0.7556]]}



# 5
{"formula": "BaGd2Se", "functional": "PBE", "state": "optimized geometry", "raw_formation_energy_ev_per_atom": -0.661, "lattice": [[3.9389, 0.0000, 0.0000], [1.9694, 3.4112, 0.0000], [1.9694, 1.1371, 10.7976]], "species": ["Se", "Gd", "Gd", "Ba"], "frac_coords": [[0.5000, 0.5000, 0.5000], [0.8862, 0.8862, 0.3414], [0.1138, 0.1138, 0.6586], [0.0000, 0.0000, 0.0000]]}



# 6
{"formula": "InMoRu2C", "functional": "PBE", "state": "optimized geometry", "formation_energy_ev_per_atom": 0.686, "lattice": [[4.0440, 0.0000, 0.0000], [0.0000, 4.6707, 0.0000], [0.0000, 0.0000, 4.0440]], "species": ["C", "Ru", "Ru", "Mo", "In"], "frac_coords": [[0.0000, 0.0000, 0.0000], [0.0000, 0.0000, 0.5000], [0.5000, 0.0000, 0.0000], [0.5000, 0.5000, 0.5000], [0.0000, 0.5000, 0.0000]]}



# 7
{"formula": "Ho4Pd6Pt7", "functional": "PBE", "state": "optimized geometry", "formation_energy_ev_per_atom": -0.835, "lattice": [[6.9496, 0.0000, -2.4570], [-3.4748, 6.0185, -2.4570], [0.0000, 0.0000, 7.3711]], "species": ["Pt", "Pt", "Pt", "Pt", "Pt", "Pt", "Pt", "Pd", "Pd", "Pd", "Pd", "Pd", "Pd", "Ho", "Ho", "Ho", "Ho"], "frac_coords": [[0.2500, 0.7500, 0.5000], [0.2500, 0.5000, 0.7500], [0.5000, 0.7500, 0.2500], [0.5000, 0.2500, 0.7500], [0.7500, 0.5000, 0.2500], [0.0000, 0.0000, 0.0000], [0.7500, 0.2500, 0.5000], [0.0000, 0.6992, 0.6992], [0.6992, 0.0000, 0.6992], [0.3008, 0.3008, 0.0000], [0.3008, 0.0000, 0.3008], [0.6992, 0.6992, 0.0000], [0.0000, 0.3008, 0.3008], [0.0000, 0.0000, 0.5000], [0.0000, 0.5000, 0.0000], [0.5000, 0.5000, 0.5000], [0.5000, 0.0000, 0.0000]]}



# 8
{"formula": "ScInOs2", "functional": "PBE", "state": "optimized geometry", "formation_energy_ev_per_atom": 0.079, "lattice": [[4.4521, 0.0255, 0.0000], [-0.0203, 4.4522, 0.0000], [0.0000, 0.0000, 3.3959]], "species": ["Os", "Os", "In", "Sc"], "frac_coords": [[0.0000, 0.0000, 0.0000], [0.5000, 0.5000, 0.0000], [0.0000, 0.5000, 0.5000], [0.5000, 0.0000, 0.5000]]}